Material: CsTiVI6
Method: DFT, PBE
State: optimized geometry

Theoretical density (g cm⁻³): 4.0
Magnetic moment (μB per atom): 0.444
Calculated total energy (eV per atom): -3.835

Structure (POSCAR):
```
CsTiVI6
1.0
3.705 -6.415 0.000
3.705 6.415 0.000
-0.001 0.000 8.704
Cs Ti V I
1 1 1 6
Direct
0.000 0.000 0.000
0.667 0.333 0.500
0.333 0.667 0.500
0.001 0.375 0.315
0.001 0.626 0.685
0.374 0.999 0.315
0.376 0.377 0.686
0.623 0.624 0.314
0.625 0.999 0.685
```

=====

Material: Cs2YTiI6
Method: DFT, PBE
State: optimized geometry

Theoretical density (g cm⁻³): 4.5
Magnetic moment (μB per atom): 0.300
Calculated total energy (eV per atom): -3.679

Structure (POSCAR):
```
Cs2YTiI6
1.0
0.000 5.986 5.986
5.986 0.000 5.986
5.986 5.986 0.000
Cs Y Ti I
2 1 1 6
Direct
0.250 0.250 0.250
0.750 0.750 0.750
0.000 0.000 0.000
0.500 0.500 0.500
0.254 0.254 0.746
0.254 0.746 0.254
0.254 0.746 0.746
0.746 0.254 0.254
0.746 0.254 0.746
0.746 0.746 0.254
```

=====

Material: Cs2ZrTiI6
Method: DFT, PBE
State: optimized geometry

Theoretical density (g cm⁻³): 4.7
Magnetic moment (μB per atom): 0.400
Calculated total energy (eV per atom): -3.657

Structure (POSCAR):
```
Cs2ZrTiI6
1.0
0.000 5.909 5.909
5.909 0.000 5.909
5.909 5.909 0.000
Cs Zr Ti I
2 1 1 6
Direct
0.250 0.250 0.250
0.750 0.750 0.750
0.000 0.000 0.000
0.500 0.500 0.500
0.252 0.252 0.748
0.252 0.748 0.252
0.252 0.748 0.748
0.748 0.252 0.252
0.748 0.252 0.748
0.748 0.748 0.252
```